1.
Compound: Ce2SmCoN4
Source: Alexandria
Functional: PBE-GGA
Structure: optimized geometry

## Properties
formation energy (no corrections) = -1106 meV/atom
E = -8.230 eV per atom
crystal system = orthorhombic
space-group type = Cmcm, No. 63
M_tot = 0.253 μB/atom

Cell: 3.488 6.007 11.603 Å, 90.00 90.00 106.88°
Last column: magnetic moment on the atom in μB.
Positions (direct):
N: 0.552 0.104 0.250  0.08
N: 0.733 0.466 0.623  0.07
N: 0.267 0.534 0.123  0.07
Co: 0.155 0.311 0.250  1.59
Co: 0.845 0.689 0.750  1.59
Ce: 0.632 0.264 0.056  0.03
N: 0.448 0.896 0.750  0.08
Sm: 0.894 0.788 0.250  -0.02
N: 0.733 0.466 0.877  0.07
Sm: 0.106 0.212 0.750  -0.02
Ce: 0.368 0.736 0.556  0.03
Ce: 0.632 0.264 0.444  0.03
N: 0.000 0.000 0.000  0.03
N: 0.000 0.000 0.500  0.03
N: 0.267 0.534 0.377  0.07
Ce: 0.368 0.736 0.944  0.03



2.
Compound: PaTiB2O8
Source: Alexandria
Functional: PBE-GGA
Structure: optimized geometry

## Properties
formation energy (no corrections) = -2622 meV/atom
E = -8.490 eV per atom
crystal system = tetragonal
space-group type = I-4m2, No. 119
M_tot = 0.000 μB/atom

Cell: 5.390 5.390 5.390 Å, 106.29 106.29 116.03°
Positions (direct):
O: 0.341 0.526 0.185
Pa: 0.000 0.000 0.000
O: 0.341 0.156 0.815
O: 0.922 0.590 0.668
B: 0.500 0.500 0.000
B: 0.750 0.250 0.500
O: 0.410 0.078 0.332
O: 0.474 0.659 0.815
O: 0.844 0.659 0.185
Ti: 0.250 0.750 0.500
O: 0.922 0.254 0.332
O: 0.746 0.078 0.668



3.
Compound: CaTmGaGe
Source: Alexandria
Functional: PBE-GGA
Structure: optimized geometry

## Properties
E = -4.171 eV per atom
crystal system = orthorhombic
distance to the lowest polymorph of the same formula = 0 meV per atom
space-group type = Amm2, No. 38
M_tot = 0.000 μB/atom
energy of formation = -0.641 eV/atom

Cell: 4.354 4.034 5.838 Å, 90.00 111.90 90.00°
Positions (direct):
Tm: 0.864 0.500 0.727
Ga: 0.576 0.500 0.151
Ge: 0.420 0.000 0.840
Ca: 0.141 0.000 0.282



4.
Compound: Dy4Y3Er4
Source: Alexandria
Functional: PBE-GGA
Structure: optimized geometry

## Properties
E = -5.041 eV per atom
crystal system = triclinic
space-group type = P-1, No. 2
M_tot = 0.000 μB/atom
energy of formation = 0.055 eV/atom

Cell: 3.515 5.560 17.985 Å, 81.08 84.38 90.00°
Positions (direct):
Dy: 0.546 0.546 0.908
Er: 0.591 0.091 0.819
Dy: 0.681 0.181 0.639
Er: 0.733 0.734 0.533
Y: 0.863 0.363 0.274
Er: 0.409 0.909 0.181
Dy: 0.319 0.819 0.361
Dy: 0.454 0.454 0.092
Y: 0.000 0.000 0.000
Y: 0.137 0.637 0.726
Er: 0.267 0.266 0.467



Calculated D(E_F) in order - 6.862; 6.269; 2.416; 20.859 states/eV per cell